A relaxed structure of Li4PrC2. Source: OQMD via LeMat-Bulk, functional PBE-GGA.

```
Li4PrC2
1.0
-2.8474 2.8474 2.5101
2.8474 -2.8474 2.5101
2.8474 2.8474 -2.5101
Li Pr C
4 1 2
Cartesian
1.1020 1.1020 0.0000
1.7453 -1.7453 2.5101
-1.7453 1.7453 2.5101
1.7453 1.7453 2.5101
0.0000 0.0000 2.5101
2.8474 0.0000 1.2550
0.0000 2.8474 1.2550
```

Results
Final energy: -3.54 eV/atom
SG: I4/mmm (139)